Entry from the Alexandria database: crystalline Mn2PbSe at its relaxed geometry (GGA-PBE).

Computed properties:
Density (g/cm3): 7.6
Energy relative to the lowest polymorph listed for this composition (meV per atom): 170
Raw total energy (eV per atom): -6.157
Space-group type: I-42d (122)
M_tot (Bohr magnetons per cell): 16.4
Formation energy without anion corrections (eV/atom): 0.23

a = 7.377 Å, b = 7.377 Å, c = 6.107 Å
α = 52.85°, β = 52.85°, γ = 90.00°
Site moments in Bohr magnetons follow the coordinates.
Positions (direct):
1 Pb 0.000 0.000 0.000  -0.12
2 Pb 0.750 0.250 0.500  -0.13
3 Mn 0.588 0.125 0.250  3.88
4 Mn 0.162 0.625 0.250  3.89
5 Mn 0.375 0.412 0.750  3.86
6 Mn 0.875 0.838 0.750  3.91
7 Se 0.250 0.750 0.500  0.07
8 Se 0.500 0.500 0.000  0.07